[1]
Compound: AlVTc
Source: Alexandria via LeMat-Bulk
Functional: GGA-PBE
Structure: optimized geometry

Cell and atoms, written as POSCAR:
```
AlVTc
1.0
4.521 -2.159 0.000
4.521 2.159 0.000
-3.007 0.000 4.340
Al V Tc
2 2 2
Cartesian
0.000 0.000 0.000
-1.504 0.000 2.170
1.131 0.000 2.760
4.905 0.000 1.581
2.555 0.000 0.676
3.480 0.000 3.664
```

Summary:
* polymorph energy (0 for the lowest one): 0.178 eV per formula unit
* M_tot: 0.0 Bohr magnetons per cell
* D(E_F): 1.472 states/eV/f.u.

=====

[2]
Compound: Al2VTc
Source: Alexandria via LeMat-Bulk
Functional: GGA-PBE
Structure: optimized geometry

Cell and atoms, written as POSCAR:
```
Al2VTc
1.0
-3.416 3.416 2.650
3.416 -3.416 2.650
3.416 3.416 -2.650
Al V Tc
4 2 2
Cartesian
5.124 1.687 -0.663
1.687 1.708 0.663
-1.708 1.729 1.988
1.729 1.708 3.313
3.416 0.000 1.325
0.000 0.000 2.650
0.000 0.000 0.000
0.000 3.416 1.325
```

Summary:
* polymorph energy (0 for the lowest one): 2.073 eV per formula unit
* M_tot: 0.0 Bohr magnetons per cell
* D(E_F): 4.543 states/eV/f.u.

=====

[3]
Compound: AlV6Tc5
Source: Alexandria via LeMat-Bulk
Functional: GGA-PBE
Structure: optimized geometry

Cell and atoms, written as POSCAR:
```
AlV6Tc5
1.0
-2.138 3.047 6.406
2.138 -3.047 6.406
2.138 3.047 -6.406
Al V Tc
1 6 5
Cartesian
0.000 0.000 0.000
2.138 -1.498 4.234
2.138 1.586 0.000
0.000 1.549 2.172
2.138 1.498 4.234
0.000 1.461 6.406
0.000 4.544 2.172
2.138 0.000 2.074
0.000 0.000 4.251
0.000 3.047 0.000
0.000 0.000 8.562
0.000 3.047 4.333
```

Summary:
* M_tot: 0.0 Bohr magnetons per cell
* total DFT energy (no corrections): -114.36 eV per cell
* D(E_F): 9.004 states/eV/f.u.

=====

What is the D(E_F) in the first record?
1.472 states/eV/f.u.